1.
Ba2VGaS | PBE-GGA | relaxed

Summary:
Raw total energy: -3.617 eV/atom
Total magnetic moment: 5.0 μB/cell
Uncorrected formation energy: 407 meV per atom

Cell: 6.362 6.362 4.742 Å, 90.00 90.00 90.00°
Space group P4/mmm (No. 123)
One atom of each set of equivalent atoms:
Ba 0.000 0.500 0.000 x2
V 0.000 0.000 0.500 x1
Ga 0.500 0.500 0.000 x1
S 0.500 0.500 0.500 x1



2.
BaYGaS4 | PBE-GGA | relaxed

Summary:
Raw total energy: -5.591 eV/atom
Total magnetic moment: 0.0 μB/cell
Uncorrected formation energy: -1602 meV per atom

Cell: 6.570 6.745 8.461 Å, 90.00 107.51 90.00°
Space group P2_1/m (No. 11)
One atom of each set of equivalent atoms:
Ba 0.246 0.250 0.438 x2
Y 0.278 0.250 0.947 x2
Ga 0.266 0.750 0.173 x2
S 0.046 0.750 0.913 x2
S 0.068 0.750 0.351 x2
S 0.494 0.506 0.783 x4



3.
Ba2YGaS5 | PBE-GGA | relaxed

Summary:
Raw total energy: -5.526 eV/atom
Total magnetic moment: 0.0 μB/cell
Uncorrected formation energy: -1751 meV per atom

Cell: 4.064 18.376 13.038 Å, 90.00 90.00 90.00°
Space group Cmc2_1 (No. 36)
One atom of each set of equivalent atoms:
Ba 0.000 0.120 0.000 x4
Ba 0.000 0.128 0.641 x4
Y 0.000 0.205 0.343 x4
Ga 0.000 0.441 0.744 x4
S 0.000 0.046 0.342 x4
S 0.000 0.296 0.981 x4
S 0.000 0.318 0.695 x4
S 0.000 0.348 0.323 x4
S 0.000 0.500 0.094 x4



4.
Ba2ZnGaS5 | PBE-GGA | relaxed

Summary:
Raw total energy: -4.375 eV/atom
Total magnetic moment: 4.0 μB/cell
Uncorrected formation energy: -1177 meV per atom

Cell: 4.010 19.352 12.035 Å, 90.00 90.00 90.00°
Space group Cmc2_1 (No. 36)
One atom of each set of equivalent atoms:
Ba 0.000 0.111 0.000 x4
Ba 0.000 0.123 0.383 x4
Zn 0.000 0.233 0.726 x4
Ga 0.000 0.440 0.159 x4
S 0.000 0.032 0.755 x4
S 0.000 0.291 0.353 x4
S 0.000 0.321 0.120 x4
S 0.000 0.349 0.691 x4
S 0.000 0.485 0.987 x4



5.
BaZr2GaS | PBE-GGA | relaxed

Summary:
Raw total energy: -3.492 eV/atom
Total magnetic moment: 0.0 μB/cell
Uncorrected formation energy: 1743 meV per atom

Cell: 5.390 5.390 5.409 Å, 90.00 90.00 90.00°
Space group P4/mmm (No. 123)
One atom of each set of equivalent atoms:
Ba 0.000 0.000 0.000 x1
Zr 0.000 0.500 0.000 x2
Ga 0.000 0.000 0.500 x1
S 0.500 0.500 0.500 x1



6.
Ba2GaSb2 | PBE-GGA | relaxed

Summary:
Raw total energy: -3.471 eV/atom
Energy above the lowest structure with this stoichiometry: 1.808 eV/f.u.
Total magnetic moment: 0.0 μB/cell
Uncorrected formation energy: -448 meV per atom

Cell: 9.877 9.877 3.978 Å, 90.00 90.00 90.00°
Space group P4/mbm (No. 127)
One atom of each set of equivalent atoms:
Ba 0.134 0.366 0.000 x4
Ga 0.000 0.000 0.000 x2
Sb 0.167 0.667 0.500 x4



7.
BaGa2Sb | PBE-GGA | relaxed

Summary:
Raw total energy: -3.382 eV/atom
Total magnetic moment: 0.0 μB/cell
Uncorrected formation energy: -358 meV per atom

Cell: 4.9012 4.9012 17.2089 Å, 90.00 90.00 120.00°
Space group R-3m (No. 166, hexagonal axes)
One atom of each set of equivalent atoms:
Ba 0.0000 0.0000 0.0000 x3
Ga 0.0000 0.0000 0.2180 x6
Sb 0.0000 0.0000 0.5000 x3



8.
BaGa3Sb3 | PBE-GGA | relaxed

Summary:
Raw total energy: -3.535 eV/atom
Total magnetic moment: 0.0 μB/cell
Uncorrected formation energy: -197 meV per atom

Cell: 7.703 7.703 7.703 Å, 90.00 90.00 90.00°
Space group Pm-3n (No. 223)
One atom of each set of equivalent atoms:
Ba 0.000 0.000 0.000 x2
Ga 0.000 0.250 0.500 x6
Sb 0.000 0.500 0.250 x6



- raw total energy of number 1 (Ba2VGaS)?
  -3.617 eV/atom



- The lowest raw total energy belongs to which entry?
  BaYGaS4



- Look up the uncorrected formation energy of the first one.
  407 meV per atom



- Among the records above, which one has the lowest uncorrected formation energy?
  Ba2YGaS5